Computed, not measured: a relaxed structure of Sb2HCl at the PBE level of DFT.

abc: 6.0526 6.0526 10.2773
angles: 90.00 90.00 90.00
Last column: nearest neighbours and their distance in Å.
Fractional positions:
Sb 0.1216 0.2500 0.1250  2 H 2.12
Sb 0.2500 0.6216 0.3750  2 H 2.12
Sb 0.2500 0.8784 0.8750  2 H 2.12
Sb 0.3784 0.2500 0.6250  2 H 2.12
Sb 0.6216 0.7500 0.6250  2 H 2.12
Sb 0.7500 0.1216 0.8750  2 H 2.12
Sb 0.7500 0.3784 0.3750  2 H 2.12
Sb 0.8784 0.7500 0.1250  2 H 2.12
H 0.0000 0.0000 0.0000  4 Sb 2.12
H 0.0000 0.5000 0.2500  4 Sb 2.12
H 0.5000 0.0000 0.7500  4 Sb 2.12
H 0.5000 0.5000 0.5000  4 Sb 2.12
Cl 0.0000 0.0000 0.5000  4 Sb 3.03
Cl 0.0000 0.5000 0.7500  4 Sb 3.03
Cl 0.5000 0.0000 0.2500  4 Sb 3.03
Cl 0.5000 0.5000 0.0000  4 Sb 3.03

- electronic total energy (eV/atom) = -3.02
- V (Å³/cell) = 376.5

Computed, not measured: a relaxed structure of HfCo2GeP at the PBE level of DFT.

abc: 4.2361 4.2361 5.0945
angles: 90.00 90.00 90.00
Last column: nearest neighbours and their distance in Å.
Fractional positions:
Hf 0.0000 0.0000 0.0000  2 Ge 2.55
Co 0.0000 0.5000 0.5000  2 Ge 2.12
Co 0.5000 0.0000 0.5000  2 Ge 2.12
Ge 0.0000 0.0000 0.5000  4 Co 2.12
P 0.5000 0.5000 0.0000  4 Hf 3.00, 8 Co 3.31

- electronic total energy (eV/atom) = -6.22
- energy of formation (eV per atom) = 0.6214
- V (Å³/cell) = 91.4

Question: Which of these has the highest electronic total energy?
Answer: Sb2HCl

Question: Look up the electronic total energy of the second one.
Answer: -6.22 eV/atom

Question: Which value of electronic total energy does entry 1 give?
Answer: -3.02 eV/atom